[1]
DFT (PBE-GGA) results for a relaxed La2Pt2Au crystal. Values from VASP.

Properties
Space-group type: I4/mmm, No. 139
ΔE_f, meV per atom: -865.2
Density, g cm⁻³: 11.344

The structure in Quantum ESPRESSO input format:
```
&SYSTEM
  ibrav = 0, nat = 10, ntyp = 3
/
ATOMIC_SPECIES
La 138.91 La.upf
Pt 195.08 Pt.upf
Au 196.97 Au.upf
CELL_PARAMETERS angstrom
3.9777 0.0000 0.0000
0.0000 3.9777 0.0000
0.0000 0.0000 16.0045
ATOMIC_POSITIONS crystal
La 0.0000 0.0000 0.1132
La 0.0000 0.0000 0.8868
La 0.5000 0.5000 0.3868
La 0.5000 0.5000 0.6132
Pt 0.0000 0.5000 0.2500
Pt 0.0000 0.5000 0.7500
Pt 0.5000 0.0000 0.2500
Pt 0.5000 0.0000 0.7500
Au 0.0000 0.0000 0.5000
Au 0.5000 0.5000 0.0000
```

***

[2]
DFT (PBE-GGA) results for a relaxed La2Pt5Au12 crystal. Values from VASP.

Properties
Space-group type: R-3m, No. 166
ΔE_f, meV per atom: -340.7
Density, g cm⁻³: 16.058

The structure in Quantum ESPRESSO input format:
```
&SYSTEM
  ibrav = 0, nat = 19, ntyp = 3
/
ATOMIC_SPECIES
La 138.91 La.upf
Pt 195.08 Pt.upf
Au 196.97 Au.upf
CELL_PARAMETERS angstrom
4.7995 2.7710 4.6871
-4.7995 2.7710 4.6871
0.0000 -5.5420 4.6871
ATOMIC_POSITIONS crystal
La 0.1879 0.1879 0.1879
La 0.8121 0.8121 0.8121
Pt 0.0000 0.5000 0.5000
Pt 0.3933 0.3933 0.3933
Pt 0.5000 0.0000 0.5000
Pt 0.5000 0.5000 0.0000
Pt 0.6067 0.6067 0.6067
Au 0.1485 0.1485 0.6564
Au 0.1485 0.6564 0.1485
Au 0.1990 0.5000 0.8010
Au 0.1990 0.8010 0.5000
Au 0.3436 0.8515 0.8515
Au 0.5000 0.1990 0.8010
Au 0.5000 0.8010 0.1990
Au 0.6564 0.1485 0.1485
Au 0.8010 0.1990 0.5000
Au 0.8010 0.5000 0.1990
Au 0.8515 0.3436 0.8515
Au 0.8515 0.8515 0.3436
```